Density functional theory data (PBE+U) for crystalline CdPb2WO at its relaxed geometry.

a = 6.172 Å, b = 3.944 Å, c = 6.172 Å
α = 90.00°, β = 90.00°, γ = 90.00°
Fractional coordinates of all 5 atoms:
W1 0.000 0.500 0.000
O1 0.000 0.000 0.000
Pb1 0.000 0.000 0.500
Pb2 0.500 0.000 0.000
Cd1 0.500 0.500 0.500

Summary:
- DOS at the Fermi energy: 2.46 states/eV/f.u.
- E_tot: -0.147 hartree per atom
- Symmetry: P4/mmm (123)